# TcAs3 | the Alexandria database | PBE | relaxed
# **Formation enthalpy at 0 K**: -0.0656 eV/atom
# **Energy above the most stable polymorph in this dataset**: 0 meV/atom
data_TcAs3
_space_group_name_H-M_alt 'P 1'
_space_group_IT_number 1
_cell_length_a 6.149
_cell_length_b 7.646
_cell_length_c 6.068
_cell_angle_alpha 90.00
_cell_angle_beta 90.00
_cell_angle_gamma 90.00
loop_
_space_group_symop_operation_xyz
'x,y,z'
loop_
_atom_site_label
_atom_site_type_symbol
_atom_site_fract_x
_atom_site_fract_y
_atom_site_fract_z
_atom_site_occupancy
Tc1 Tc 0.166 0.250 0.019 1
Tc2 Tc 0.334 0.750 0.519 1
Tc3 Tc 0.666 0.250 0.481 1
Tc4 Tc 0.834 0.750 0.981 1
As1 As 0.047 0.250 0.621 1
As2 As 0.188 0.579 0.869 1
As3 As 0.188 0.921 0.869 1
As4 As 0.312 0.079 0.369 1
As5 As 0.312 0.421 0.369 1
As6 As 0.453 0.750 0.121 1
As7 As 0.547 0.250 0.879 1
As8 As 0.688 0.579 0.631 1
As9 As 0.688 0.921 0.631 1
As10 As 0.812 0.079 0.131 1
As11 As 0.812 0.421 0.131 1
As12 As 0.953 0.750 0.379 1

=====

# Tc2As | the Alexandria database | PBE | relaxed
# **Formation enthalpy at 0 K**: -0.0271 eV/atom
# **Energy above the most stable polymorph in this dataset**: 111 meV/atom
data_Tc2As
_space_group_name_H-M_alt 'P 1'
_space_group_IT_number 1
_cell_length_a 5.977
_cell_length_b 4.149
_cell_length_c 7.229
_cell_angle_alpha 90.00
_cell_angle_beta 90.00
_cell_angle_gamma 90.00
loop_
_space_group_symop_operation_xyz
'x,y,z'
loop_
_atom_site_label
_atom_site_type_symbol
_atom_site_fract_x
_atom_site_fract_y
_atom_site_fract_z
_atom_site_occupancy
Tc1 Tc 0.001 0.250 0.181 1
Tc2 Tc 0.140 0.250 0.568 1
Tc3 Tc 0.360 0.750 0.068 1
Tc4 Tc 0.499 0.750 0.681 1
Tc5 Tc 0.501 0.250 0.319 1
Tc6 Tc 0.640 0.250 0.932 1
Tc7 Tc 0.860 0.750 0.432 1
Tc8 Tc 0.999 0.750 0.819 1
As1 As 0.234 0.250 0.895 1
As2 As 0.266 0.750 0.395 1
As3 As 0.734 0.250 0.605 1
As4 As 0.766 0.750 0.105 1

=====

# Tc2As | the Alexandria database | PBE | relaxed
# **Formation enthalpy at 0 K**: 0.0027 eV/atom
# **Energy above the most stable polymorph in this dataset**: 141 meV/atom
data_Tc2As
_space_group_name_H-M_alt 'P 1'
_space_group_IT_number 1
_cell_length_a 5.185
_cell_length_b 5.185
_cell_length_c 4.490
_cell_angle_alpha 90.00
_cell_angle_beta 90.00
_cell_angle_gamma 131.69
loop_
_space_group_symop_operation_xyz
'x,y,z'
loop_
_atom_site_label
_atom_site_type_symbol
_atom_site_fract_x
_atom_site_fract_y
_atom_site_fract_z
_atom_site_occupancy
Tc1 Tc 0.054 0.946 0.750 1
Tc2 Tc 0.257 0.743 0.250 1
Tc3 Tc 0.743 0.257 0.750 1
Tc4 Tc 0.946 0.054 0.250 1
As1 As 0.384 0.616 0.750 1
As2 As 0.616 0.384 0.250 1

=====

# TcAs3 | the Alexandria database | PBE | relaxed
# **Formation enthalpy at 0 K**: 0.2716 eV/atom
# **Energy above the most stable polymorph in this dataset**: 337 meV/atom
data_TcAs3
_space_group_name_H-M_alt 'P 1'
_space_group_IT_number 1
_cell_length_a 3.228
_cell_length_b 4.031
_cell_length_c 6.329
_cell_angle_alpha 90.00
_cell_angle_beta 90.00
_cell_angle_gamma 90.00
loop_
_space_group_symop_operation_xyz
'x,y,z'
loop_
_atom_site_label
_atom_site_type_symbol
_atom_site_fract_x
_atom_site_fract_y
_atom_site_fract_z
_atom_site_occupancy
Tc1 Tc 0.000 0.000 0.000 1
As1 As 0.000 0.500 0.754 1
As2 As 0.500 0.000 0.682 1
As3 As 0.500 0.500 0.172 1

=====

# Tc2As | the Alexandria database | PBE | relaxed
# **Formation enthalpy at 0 K**: 0.1246 eV/atom
# **Energy above the most stable polymorph in this dataset**: 262 meV/atom
data_Tc2As
_space_group_name_H-M_alt 'P 1'
_space_group_IT_number 1
_cell_length_a 10.062
_cell_length_b 10.062
_cell_length_c 10.062
_cell_angle_alpha 155.07
_cell_angle_beta 155.07
_cell_angle_gamma 35.55
loop_
_space_group_symop_operation_xyz
'x,y,z'
loop_
_atom_site_label
_atom_site_type_symbol
_atom_site_fract_x
_atom_site_fract_y
_atom_site_fract_z
_atom_site_occupancy
Tc1 Tc 0.121 0.371 0.750 1
Tc2 Tc 0.278 0.528 0.750 1
Tc3 Tc 0.371 0.121 0.250 1
Tc4 Tc 0.472 0.722 0.750 1
Tc5 Tc 0.528 0.278 0.250 1
Tc6 Tc 0.629 0.879 0.750 1
Tc7 Tc 0.722 0.472 0.250 1
Tc8 Tc 0.879 0.629 0.250 1
As1 As 0.052 0.802 0.250 1
As2 As 0.198 0.948 0.250 1
As3 As 0.802 0.052 0.750 1
As4 As 0.948 0.198 0.750 1

=====

# Tc2As | the Alexandria database | PBE | relaxed
# **Formation enthalpy at 0 K**: 0.3744 eV/atom
# **Energy above the most stable polymorph in this dataset**: 512 meV/atom
data_Tc2As
_space_group_name_H-M_alt 'P 1'
_space_group_IT_number 1
_cell_length_a 4.052
_cell_length_b 6.191
_cell_length_c 4.130
_cell_angle_alpha 90.00
_cell_angle_beta 90.00
_cell_angle_gamma 90.00
loop_
_space_group_symop_operation_xyz
'x,y,z'
loop_
_atom_site_label
_atom_site_type_symbol
_atom_site_fract_x
_atom_site_fract_y
_atom_site_fract_z
_atom_site_occupancy
Tc1 Tc 0.213 0.124 0.000 1
Tc2 Tc 0.287 0.624 0.500 1
Tc3 Tc 0.713 0.376 0.500 1
Tc4 Tc 0.787 0.876 0.000 1
As1 As 0.000 0.500 0.000 1
As2 As 0.500 0.000 0.500 1

=====

# TcAs3 | the Alexandria database | PBE | relaxed
# **Formation enthalpy at 0 K**: 0.0948 eV/atom
# **Energy above the most stable polymorph in this dataset**: 160 meV/atom
data_TcAs3
_space_group_name_H-M_alt 'P 1'
_space_group_IT_number 1
_cell_length_a 3.125
_cell_length_b 3.125
_cell_length_c 6.937
_cell_angle_alpha 90.00
_cell_angle_beta 90.00
_cell_angle_gamma 90.00
loop_
_space_group_symop_operation_xyz
'x,y,z'
loop_
_atom_site_label
_atom_site_type_symbol
_atom_site_fract_x
_atom_site_fract_y
_atom_site_fract_z
_atom_site_occupancy
Tc1 Tc 0.000 0.000 0.000 1
As1 As 0.000 0.000 0.500 1
As2 As 0.500 0.500 0.214 1
As3 As 0.500 0.500 0.786 1

=====

# Tc5As | the Alexandria database | PBE | relaxed
# **Formation enthalpy at 0 K**: 0.0499 eV/atom
# **Energy above the most stable polymorph in this dataset**: 22 meV/atom
data_Tc5As
_space_group_name_H-M_alt 'P 1'
_space_group_IT_number 1
_cell_length_a 2.915
_cell_length_b 2.915
_cell_length_c 10.289
_cell_angle_alpha 90.00
_cell_angle_beta 90.00
_cell_angle_gamma 90.00
loop_
_space_group_symop_operation_xyz
'x,y,z'
loop_
_atom_site_label
_atom_site_type_symbol
_atom_site_fract_x
_atom_site_fract_y
_atom_site_fract_z
_atom_site_occupancy
Tc1 Tc 0.000 0.000 0.000 1
Tc2 Tc 0.000 0.000 0.345 1
Tc3 Tc 0.000 0.000 0.655 1
Tc4 Tc 0.500 0.500 0.174 1
Tc5 Tc 0.500 0.500 0.826 1
As1 As 0.500 0.500 0.500 1